ThSc3In2: optimized geometry, PBE.

Cell and atoms, written as CIF:
```
data_ThSc3In2
_cell_length_a 3.473
_cell_length_b 3.473
_cell_length_c 12.089
_cell_angle_alpha 90.00
_cell_angle_beta 90.00
_cell_angle_gamma 90.00
_symmetry_space_group_name_H-M 'P 4/m m m'
_symmetry_Int_Tables_number 123
_symmetry_space_group_name_Hall '-P 4 2'
loop_
_atom_site_label
_atom_site_type_symbol
_atom_site_fract_x
_atom_site_fract_y
_atom_site_fract_z
_atom_site_occupancy
Th1 Th 0.000 0.000 0.000 1
Sc1 Sc 0.500 0.500 0.187 1
Sc2 Sc 0.500 0.500 0.500 1
In1 In 0.000 0.000 0.341 1
```

Computed properties:
* final energy: -5.6183 eV per atom

***

CrTeP2: optimized geometry, PBE.

Cell and atoms, written as CIF:
```
data_CrTeP2
_cell_length_a 3.0795
_cell_length_b 3.0795
_cell_length_c 25.3696
_cell_angle_alpha 90.00
_cell_angle_beta 90.00
_cell_angle_gamma 120.00
_symmetry_space_group_name_H-M 'R -3 m'
_symmetry_Int_Tables_number 166
_symmetry_space_group_name_Hall '-R 3 2"'
loop_
_atom_site_label
_atom_site_type_symbol
_atom_site_fract_x
_atom_site_fract_y
_atom_site_fract_z
_atom_site_occupancy
Cr1 Cr 0.0000 0.0000 0.0000 1
Te1 Te 0.0000 0.0000 0.5000 1
P1 P 0.0000 0.0000 0.2733 1
```

Computed properties:
* formation energy from raw total energies: 0.36 eV/f.u.

***

PtRh3O: optimized geometry, PBE.

Cell and atoms, written as CIF:
```
data_PtRh3O
_cell_length_a 4.832
_cell_length_b 4.832
_cell_length_c 4.832
_cell_angle_alpha 90.00
_cell_angle_beta 90.00
_cell_angle_gamma 90.00
_symmetry_space_group_name_H-M 'P m -3 m'
_symmetry_Int_Tables_number 221
_symmetry_space_group_name_Hall '-P 4 2 3'
loop_
_atom_site_label
_atom_site_type_symbol
_atom_site_fract_x
_atom_site_fract_y
_atom_site_fract_z
_atom_site_occupancy
Pt1 Pt 0.000 0.000 0.000 1
Rh1 Rh 0.000 0.000 0.500 1
O1 O 0.500 0.500 0.500 1
```

Computed properties:
* formation energy from raw total energies: 9.62 eV/f.u.
* energy above the most stable polymorph in this dataset: 1678 meV/atom

***

Number 1: DOS at the Fermi energy 0.73 states/eV/atom, magnetic moment 0.2 μB/f.u.. Number 2: DOS at the Fermi energy 0.91 states/eV/atom, magnetic moment 0.0 μB/f.u.. Number 3: DOS at the Fermi energy 1.71 states/eV/atom, magnetic moment 5.2 μB/f.u..